A plane-wave DFT calculation with PBE+U was carried out for a relaxed structure of Co2HF.

Computed properties:
* magnetization: 4.4 μB per formula unit
* mass density: 5.7 g/cm3
* VASP energy: -3.517 eV/atom
* calculated volume: 40 Å³/cell
* relative energy among the computed polymorphs: 507 meV/atom

Lattice parameters (Å, degrees): 3.836 3.836 3.836 60.00 60.00 60.00
Site moments in Bohr magnetons follow the coordinates.
Element x y z (fractional)
H1 0.000 0.000 0.000  0.01
Co1 0.250 0.250 0.250  2.19
Co2 0.750 0.750 0.750  2.19
F1 0.500 0.500 0.500  0.04